No. 1
# Zn2NiHg (PBE, optimized geometry)
# - DOS(E_F) (states/eV per cell) = 11.87
# - formation energy (eV/atom) = 0.20
# - E (eV/atom) = -1.953
data_Zn2NiHg
_chemical_formula_sum 'Zn8 Ni4 Hg4'
_cell_length_a 3.850
_cell_length_b 3.850
_cell_length_c 18.266
_cell_angle_alpha 90.00
_cell_angle_beta 90.00
_cell_angle_gamma 90.00
_symmetry_space_group_name_H-M 'I -4 2 d'
_symmetry_Int_Tables_number 122
_symmetry_space_group_name_Hall 'I -4 2bw'
loop_
_atom_site_label
_atom_site_fract_x
_atom_site_fract_y
_atom_site_fract_z
Zn1 0.216 0.250 0.125
Ni1 0.000 0.000 0.000
Hg1 0.000 0.000 0.500

No. 2
# Zn2NiHg (PBE, optimized geometry)
# - DOS(E_F) (states/eV per cell) = 2.89
# - formation energy (eV/atom) = 0.05
# - E (eV/atom) = -2.107
data_Zn2NiHg
_chemical_formula_sum 'Zn4 Ni2 Hg2'
_cell_length_a 3.341
_cell_length_b 4.287
_cell_length_c 8.604
_cell_angle_alpha 90.00
_cell_angle_beta 90.00
_cell_angle_gamma 90.00
_symmetry_space_group_name_H-M 'I m m m'
_symmetry_Int_Tables_number 71
_symmetry_space_group_name_Hall '-I 2 2'
loop_
_atom_site_label
_atom_site_fract_x
_atom_site_fract_y
_atom_site_fract_z
Zn1 0.000 0.000 0.227
Ni1 0.000 0.500 0.500
Hg1 0.000 0.500 0.000

No. 3
# Zn2NiHg (PBE, optimized geometry)
# - DOS(E_F) (states/eV per cell) = 9.36
# - formation energy (eV/atom) = 0.10
# - E (eV/atom) = -2.061
data_Zn2NiHg
_chemical_formula_sum 'Zn8 Ni4 Hg4'
_cell_length_a 6.252
_cell_length_b 6.252
_cell_length_c 6.252
_cell_angle_alpha 90.00
_cell_angle_beta 90.00
_cell_angle_gamma 90.00
_symmetry_space_group_name_H-M 'F -4 3 m'
_symmetry_Int_Tables_number 216
_symmetry_space_group_name_Hall 'F -4 2 3'
loop_
_atom_site_label
_atom_site_fract_x
_atom_site_fract_y
_atom_site_fract_z
Zn1 0.000 0.000 0.000
Zn2 0.250 0.250 0.250
Ni1 0.000 0.000 0.500
Hg1 0.250 0.250 0.750

No. 4
# ZnNiHg (PBE, optimized geometry)
# - DOS(E_F) (states/eV per cell) = 3.58
# - formation energy (eV/atom) = 0.07
# - offset from the most stable computed form (eV/atom) = 0.000
# - E (eV/atom) = -2.386
data_ZnNiHg
_chemical_formula_sum 'Zn2 Ni2 Hg2'
_cell_length_a 3.019
_cell_length_b 3.219
_cell_length_c 9.612
_cell_angle_alpha 90.00
_cell_angle_beta 90.00
_cell_angle_gamma 90.00
_symmetry_space_group_name_H-M 'I m m 2'
_symmetry_Int_Tables_number 44
loop_
_symmetry_equiv_pos_as_xyz
'x,y,z'
'-x,-y,z'
'-x,y,z'
'x,-y,z'
'x+1/2,y+1/2,z+1/2'
'-x+1/2,-y+1/2,z+1/2'
'-x+1/2,y+1/2,z+1/2'
'x+1/2,-y+1/2,z+1/2'
loop_
_atom_site_label
_atom_site_fract_x
_atom_site_fract_y
_atom_site_fract_z
Zn1 0.000 0.000 0.000
Ni1 0.000 0.000 0.380
Hg1 0.000 0.000 0.698

No. 5
# ZnNi2Hg (PBE, optimized geometry)
# - DOS(E_F) (states/eV per cell) = 5.12
# - formation energy (eV/atom) = 0.09
# - E (eV/atom) = -3.191
data_ZnNi2Hg
_chemical_formula_sum 'Zn2 Ni4 Hg2'
_cell_length_a 3.804
_cell_length_b 3.804
_cell_length_c 7.762
_cell_angle_alpha 90.00
_cell_angle_beta 90.00
_cell_angle_gamma 90.00
_symmetry_space_group_name_H-M 'I -4 m 2'
_symmetry_Int_Tables_number 119
_symmetry_space_group_name_Hall 'I -4 -2'
loop_
_atom_site_label
_atom_site_fract_x
_atom_site_fract_y
_atom_site_fract_z
Zn1 0.000 0.000 0.000
Ni1 0.000 0.000 0.500
Ni2 0.000 0.500 0.250
Hg1 0.000 0.500 0.750

No. 6
# ZnNi2Hg (PBE, optimized geometry)
# - DOS(E_F) (states/eV per cell) = 3.92
# - formation energy (eV/atom) = 0.04
# - E (eV/atom) = -3.247
data_ZnNi2Hg
_chemical_formula_sum 'Zn2 Ni4 Hg2'
_cell_length_a 3.990
_cell_length_b 3.990
_cell_length_c 7.051
_cell_angle_alpha 90.00
_cell_angle_beta 90.00
_cell_angle_gamma 90.00
_symmetry_space_group_name_H-M 'I 4/m m m'
_symmetry_Int_Tables_number 139
_symmetry_space_group_name_Hall '-I 4 2'
loop_
_atom_site_label
_atom_site_fract_x
_atom_site_fract_y
_atom_site_fract_z
Zn1 0.000 0.000 0.000
Ni1 0.000 0.500 0.250
Hg1 0.000 0.000 0.500

No. 7
# Zn2NiHg (PBE, optimized geometry)
# - DOS(E_F) (states/eV per cell) = 7.87
# - formation energy (eV/atom) = 0.09
# - E (eV/atom) = -2.066
data_Zn2NiHg
_chemical_formula_sum 'Zn6 Ni3 Hg3'
_cell_length_a 2.9155
_cell_length_b 2.9155
_cell_length_c 26.8064
_cell_angle_alpha 90.00
_cell_angle_beta 90.00
_cell_angle_gamma 120.00
_symmetry_space_group_name_H-M 'R -3 m'
_symmetry_Int_Tables_number 166
_symmetry_space_group_name_Hall '-R 3 2"'
loop_
_atom_site_label
_atom_site_fract_x
_atom_site_fract_y
_atom_site_fract_z
Zn1 0.0000 0.0000 0.2350
Ni1 0.0000 0.0000 0.5000
Hg1 0.0000 0.0000 0.0000

No. 8
# ZnNi2Hg (PBE, optimized geometry)
# - DOS(E_F) (states/eV per cell) = 9.07
# - formation energy (eV/atom) = 0.13
# - E (eV/atom) = -3.159
data_ZnNi2Hg
_chemical_formula_sum 'Zn2 Ni4 Hg2'
_cell_length_a 8.182
_cell_length_b 2.876
_cell_length_c 5.060
_cell_angle_alpha 90.00
_cell_angle_beta 101.41
_cell_angle_gamma 90.00
_symmetry_space_group_name_H-M 'C 1 2/m 1'
_symmetry_Int_Tables_number 12
loop_
_symmetry_equiv_pos_as_xyz
'x,y,z'
'-x,-y,-z'
'-x,y,-z'
'x,-y,z'
'x+1/2,y+1/2,z'
'-x+1/2,-y+1/2,-z'
'-x+1/2,y+1/2,-z'
'x+1/2,-y+1/2,z'
loop_
_atom_site_label
_atom_site_fract_x
_atom_site_fract_y
_atom_site_fract_z
Zn1 0.000 0.000 0.000
Ni1 0.244 0.500 0.208
Hg1 0.000 0.500 0.500

No. 9
# ZrNiHg2 (PBE, optimized geometry)
# - DOS(E_F) (states/eV per cell) = 4.11
# - formation energy (eV/atom) = 0.00
# - E (eV/atom) = -3.733
data_ZrNiHg2
_chemical_formula_sum 'Zr2 Ni2 Hg4'
_cell_length_a 4.571
_cell_length_b 4.611
_cell_length_c 7.113
_cell_angle_alpha 90.00
_cell_angle_beta 90.00
_cell_angle_gamma 90.00
_symmetry_space_group_name_H-M 'I m m 2'
_symmetry_Int_Tables_number 44
loop_
_symmetry_equiv_pos_as_xyz
'x,y,z'
'-x,-y,z'
'-x,y,z'
'x,-y,z'
'x+1/2,y+1/2,z+1/2'
'-x+1/2,-y+1/2,z+1/2'
'-x+1/2,y+1/2,z+1/2'
'x+1/2,-y+1/2,z+1/2'
loop_
_atom_site_label
_atom_site_fract_x
_atom_site_fract_y
_atom_site_fract_z
Zr1 0.000 0.000 0.000
Ni1 0.000 0.500 0.253
Hg1 0.000 0.000 0.503
Hg2 0.000 0.500 0.752

No. 10
# ZrNiHg2 (PBE, optimized geometry)
# - DOS(E_F) (states/eV per cell) = 8.07
# - formation energy (eV/atom) = 0.20
# - E (eV/atom) = -3.533
data_ZrNiHg2
_chemical_formula_sum 'Zr2 Ni2 Hg4'
_cell_length_a 5.936
_cell_length_b 8.858
_cell_length_c 2.971
_cell_angle_alpha 90.00
_cell_angle_beta 90.00
_cell_angle_gamma 90.00
_symmetry_space_group_name_H-M 'C m m m'
_symmetry_Int_Tables_number 65
_symmetry_space_group_name_Hall '-C 2 2'
loop_
_atom_site_label
_atom_site_fract_x
_atom_site_fract_y
_atom_site_fract_z
Zr1 0.000 0.000 0.000
Ni1 0.000 0.500 0.000
Hg1 0.250 0.250 0.500

No. 11
# ZrNiHg2 (PBE, optimized geometry)
# - DOS(E_F) (states/eV per cell) = 2.97
# - formation energy (eV/atom) = 0.00
# - E (eV/atom) = -3.728
data_ZrNiHg2
_chemical_formula_sum 'Zr1 Ni1 Hg2'
_cell_length_a 3.239
_cell_length_b 3.239
_cell_length_c 7.114
_cell_angle_alpha 90.00
_cell_angle_beta 90.00
_cell_angle_gamma 90.00
_symmetry_space_group_name_H-M 'P 4/m m m'
_symmetry_Int_Tables_number 123
_symmetry_space_group_name_Hall '-P 4 2'
loop_
_atom_site_label
_atom_site_fract_x
_atom_site_fract_y
_atom_site_fract_z
Zr1 0.000 0.000 0.000
Ni1 0.000 0.000 0.500
Hg1 0.500 0.500 0.285

No. 12
# ZrNiHg2 (PBE, optimized geometry)
# - DOS(E_F) (states/eV per cell) = 3.54
# - formation energy (eV/atom) = -0.08
# - E (eV/atom) = -3.818
data_ZrNiHg2
_chemical_formula_sum 'Zr1 Ni1 Hg2'
_cell_length_a 3.244
_cell_length_b 3.244
_cell_length_c 7.440
_cell_angle_alpha 90.00
_cell_angle_beta 90.00
_cell_angle_gamma 90.00
_symmetry_space_group_name_H-M 'P 4 m m'
_symmetry_Int_Tables_number 99
loop_
_symmetry_equiv_pos_as_xyz
'x,y,z'
'-y,x,z'
'-x,-y,z'
'y,-x,z'
'-x,y,z'
'y,x,z'
'x,-y,z'
'-y,-x,z'
loop_
_atom_site_label
_atom_site_fract_x
_atom_site_fract_y
_atom_site_fract_z
Zr1 0.000 0.000 0.000
Ni1 0.500 0.500 0.810
Hg1 0.000 0.000 0.585
Hg2 0.500 0.500 0.284

No. 13
# Zr4Ni2Hg (PBE, optimized geometry)
# - DOS(E_F) (states/eV per cell) = 24.51
# - formation energy (eV/atom) = -0.04
# - E (eV/atom) = -6.616
data_Zr4Ni2Hg
_chemical_formula_sum 'Zr12 Ni6 Hg3'
_cell_length_a 3.9944
_cell_length_b 3.9944
_cell_length_c 32.5131
_cell_angle_alpha 90.00
_cell_angle_beta 90.00
_cell_angle_gamma 120.00
_symmetry_space_group_name_H-M 'R -3 m'
_symmetry_Int_Tables_number 166
_symmetry_space_group_name_Hall '-R 3 2"'
loop_
_atom_site_label
_atom_site_fract_x
_atom_site_fract_y
_atom_site_fract_z
Zr1 0.0000 0.0000 0.1044
Zr2 0.0000 0.0000 0.2999
Ni1 0.0000 0.0000 0.4006
Hg1 0.0000 0.0000 0.5000

No. 14
# ZrNiHg3 (PBE, optimized geometry)
# - DOS(E_F) (states/eV per cell) = 7.08
# - formation energy (eV/atom) = 1.18
# - offset from the most stable computed form (eV/atom) = 0.751
# - E (eV/atom) = -1.866
data_ZrNiHg3
_chemical_formula_sum 'Zr1 Ni1 Hg3'
_cell_length_a 5.554
_cell_length_b 5.554
_cell_length_c 5.554
_cell_angle_alpha 90.00
_cell_angle_beta 90.00
_cell_angle_gamma 90.00
_symmetry_space_group_name_H-M 'P m -3 m'
_symmetry_Int_Tables_number 221
_symmetry_space_group_name_Hall '-P 4 2 3'
loop_
_atom_site_label
_atom_site_fract_x
_atom_site_fract_y
_atom_site_fract_z
Zr1 0.000 0.000 0.000
Ni1 0.500 0.500 0.500
Hg1 0.000 0.000 0.500

No. 15
# ZrNi2Hg2 (PBE, optimized geometry)
# - DOS(E_F) (states/eV per cell) = 2.43
# - formation energy (eV/atom) = -0.01
# - E (eV/atom) = -4.157
data_ZrNi2Hg2
_chemical_formula_sum 'Zr2 Ni4 Hg4'
_cell_length_a 6.810
_cell_length_b 6.810
_cell_length_c 3.733
_cell_angle_alpha 90.00
_cell_angle_beta 90.00
_cell_angle_gamma 90.00
_symmetry_space_group_name_H-M 'P 4/m b m'
_symmetry_Int_Tables_number 127
_symmetry_space_group_name_Hall '-P 4 2ab'
loop_
_atom_site_label
_atom_site_fract_x
_atom_site_fract_y
_atom_site_fract_z
Zr1 0.000 0.000 0.000
Ni1 0.128 0.372 0.000
Hg1 0.170 0.670 0.500

No. 16
# ZrNiHg2 (PBE, optimized geometry)
# - DOS(E_F) (states/eV per cell) = 3.05
# - formation energy (eV/atom) = 0.08
# - E (eV/atom) = -3.655
data_ZrNiHg2
_chemical_formula_sum 'Zr1 Ni1 Hg2'
_cell_length_a 3.000
_cell_length_b 4.504
_cell_length_c 5.854
_cell_angle_alpha 90.00
_cell_angle_beta 104.65
_cell_angle_gamma 90.00
_symmetry_space_group_name_H-M 'P 1 2/m 1'
_symmetry_Int_Tables_number 10
loop_
_symmetry_equiv_pos_as_xyz
'x,y,z'
'-x,-y,-z'
'-x,y,-z'
'x,-y,z'
loop_
_atom_site_label
_atom_site_fract_x
_atom_site_fract_y
_atom_site_fract_z
Zr1 0.000 0.000 0.000
Ni1 0.500 0.000 0.500
Hg1 0.360 0.500 0.733

No. 17
# Zr2NiHg2 (PBE, optimized geometry)
# - DOS(E_F) (states/eV per cell) = 9.11
# - formation energy (eV/atom) = 0.06
# - E (eV/atom) = -4.634
data_Zr2NiHg2
_chemical_formula_sum 'Zr4 Ni2 Hg4'
_cell_length_a 7.022
_cell_length_b 7.022
_cell_length_c 4.193
_cell_angle_alpha 90.00
_cell_angle_beta 90.00
_cell_angle_gamma 90.00
_symmetry_space_group_name_H-M 'P 4/m b m'
_symmetry_Int_Tables_number 127
_symmetry_space_group_name_Hall '-P 4 2ab'
loop_
_atom_site_label
_atom_site_fract_x
_atom_site_fract_y
_atom_site_fract_z
Zr1 0.166 0.334 0.000
Ni1 0.000 0.000 0.500
Hg1 0.143 0.643 0.500

No. 18
# ZrNiHg2 (PBE, optimized geometry)
# - DOS(E_F) (states/eV per cell) = 1.69
# - formation energy (eV/atom) = -0.07
# - E (eV/atom) = -3.800
data_ZrNiHg2
_chemical_formula_sum 'Zr1 Ni1 Hg2'
_cell_length_a 3.384
_cell_length_b 3.684
_cell_length_c 6.656
_cell_angle_alpha 90.00
_cell_angle_beta 104.61
_cell_angle_gamma 90.00
_symmetry_space_group_name_H-M 'P 1 m 1'
_symmetry_Int_Tables_number 6
loop_
_symmetry_equiv_pos_as_xyz
'x,y,z'
'x,-y,z'
loop_
_atom_site_label
_atom_site_fract_x
_atom_site_fract_y
_atom_site_fract_z
Zr1 0.000 0.000 0.000
Ni1 0.428 0.500 0.856
Hg1 0.276 0.000 0.562
Hg2 0.641 0.500 0.284

No. 19
# Zr3NiHg (PBE, optimized geometry)
# - DOS(E_F) (states/eV per cell) = 7.07
# - formation energy (eV/atom) = 0.15
# - offset from the most stable computed form (eV/atom) = 0.000
# - E (eV/atom) = -6.199
data_Zr3NiHg
_chemical_formula_sum 'Zr3 Ni1 Hg1'
_cell_length_a 4.860
_cell_length_b 4.860
_cell_length_c 4.860
_cell_angle_alpha 90.00
_cell_angle_beta 90.00
_cell_angle_gamma 90.00
_symmetry_space_group_name_H-M 'P m -3 m'
_symmetry_Int_Tables_number 221
_symmetry_space_group_name_Hall '-P 4 2 3'
loop_
_atom_site_label
_atom_site_fract_x
_atom_site_fract_y
_atom_site_fract_z
Zr1 0.000 0.000 0.500
Ni1 0.000 0.000 0.000
Hg1 0.500 0.500 0.500

No. 20
# Zr6NiHg2 (PBE, optimized geometry)
# - DOS(E_F) (states/eV per cell) = 12.87
# - formation energy (eV/atom) = -0.18
# - E (eV/atom) = -6.587
data_Zr6NiHg2
_chemical_formula_sum 'Zr6 Ni1 Hg2'
_cell_length_a 8.1197
_cell_length_b 8.1197
_cell_length_c 3.3737
_cell_angle_alpha 90.00
_cell_angle_beta 90.00
_cell_angle_gamma 120.00
_symmetry_space_group_name_H-M 'P -6 2 m'
_symmetry_Int_Tables_number 189
_symmetry_space_group_name_Hall 'P -6 -2'
loop_
_atom_site_label
_atom_site_fract_x
_atom_site_fract_y
_atom_site_fract_z
Zr1 0.0000 0.2471 0.0000
Zr2 0.0000 0.6091 0.5000
Ni1 0.0000 0.0000 0.5000
Hg1 0.3333 0.6667 0.0000